# Ca2TeRh | Alexandria | GGA-PBE | optimized geometry
data_Ca2TeRh
_chemical_formula_sum 'Ca4 Te2 Rh2'
_space_group_name_H-M_alt 'A m m 2'
_space_group_IT_number 38
_cell_length_a 4.3717
_cell_length_b 4.2962
_cell_length_c 11.1077
_cell_angle_alpha 90.00
_cell_angle_beta 90.00
_cell_angle_gamma 90.00
loop_
_space_group_symop_operation_xyz
'x,y,z'
'-x,-y,z'
'-x,y,z'
'x,-y,z'
'x,y+1/2,z+1/2'
'-x,-y+1/2,z+1/2'
'-x,y+1/2,z+1/2'
'x,-y+1/2,z+1/2'
loop_
_atom_site_label
_atom_site_type_symbol
_atom_site_fract_x
_atom_site_fract_y
_atom_site_fract_z
_atom_site_occupancy
Ca1 Ca 0.0000 0.0000 0.0000 1
Ca2 Ca 0.5000 0.0000 0.2852 1
Te1 Te 0.0000 0.0000 0.7105 1
Rh1 Rh 0.5000 0.0000 0.5658 1
# Raw formation energy   -0.778 eV/atom
# M_tot   0.00 μB per formula unit
# Volume   208.6 Å³/cell
# E_tot   -4.402 eV per atom